TiRe2NiO | GGA+U | optimized geometry

Geometry as POSCAR:
```
TiRe2NiO
1.0
4.3913 0.0000 0.0000
0.0000 4.3913 0.0000
0.0000 0.0000 4.4055
Ti Re Ni O
1 2 1 1
Direct
0.0000 0.0000 0.0000
0.0000 0.5000 0.5000
0.5000 0.0000 0.5000
0.0000 0.0000 0.5000
0.5000 0.5000 0.0000
```

Results
The calculation puts the calculated total energy at -30.132 eV/cell. As for the crystal system: tetragonal.